Entry 1:
VASP calculation (PBE) on Er2Tm2Cd after structural relaxation.

Output
SG: C2/m, No. 12
calculated formation energy: -0.03 eV/f.u.
ρ: 9.04 g/cm³
size of the total moment: 0.001 μB per formula unit

a b c (Å): 6.2044 6.2044 8.4690
angles (deg): 107.32 107.32 97.52
Sites, in units of the cell vectors:
Er (0.1141, 0.7439, 0.7819)
Er (0.2561, 0.8859, 0.2181)
Er (0.7439, 0.1141, 0.7819)
Er (0.8859, 0.2561, 0.2181)
Tm (0.2204, 0.2204, 0.6177)
Tm (0.3350, 0.3350, 0.0619)
Tm (0.6650, 0.6650, 0.9381)
Tm (0.7796, 0.7796, 0.3823)
Cd (0.3414, 0.6586, 0.5000)
Cd (0.6586, 0.3414, 0.5000)

Entry 2:
VASP calculation (PBE) on Rb2YBeCl6 after structural relaxation.

Output
SG: I4/mmm, No. 139
ρ: 2.76 g/cm³
size of the total moment: 1.000 μB per formula unit
uncorrected formation energy: -1.6077 eV/atom

a b c (Å): 7.4213 7.4213 7.4213
angles (deg): 119.93 119.93 90.12
Sites, in units of the cell vectors:
Rb (0.2500, 0.7500, 0.5000)
Rb (0.7500, 0.2500, 0.5000)
Y (0.0000, 0.0000, 0.0000)
Be (0.5000, 0.5000, 0.0000)
Cl (0.2535, 0.2535, 0.0000)
Cl (0.2530, 0.2530, 0.5060)
Cl (0.2530, 0.7470, 0.0000)
Cl (0.7470, 0.2530, 0.0000)
Cl (0.7465, 0.7465, 0.0000)
Cl (0.7470, 0.7470, 0.4940)

Entry 3:
VASP calculation (PBE) on BaAuBr4 after structural relaxation.

Output
SG: F-43m, No. 216
ρ: 5.68 g/cm³
size of the total moment: 2.678 μB per formula unit
uncorrected formation energy: -0.2932 eV/atom

a b c (Å): 6.4657 6.4657 6.4657
angles (deg): 60.00 60.00 60.00
Sites, in units of the cell vectors:
Ba (0.0000, 0.0000, 0.0000)
Au (0.2500, 0.2500, 0.2500)
Br (0.1255, 0.6248, 0.6248)
Br (0.6248, 0.1255, 0.6248)
Br (0.6248, 0.6248, 0.1255)
Br (0.6248, 0.6248, 0.6248)

Entry 4:
VASP calculation (PBE) on TlGe2Au after structural relaxation.

Output
SG: R-3m, No. 166
calculated formation energy: 0.22 eV/f.u.
ρ: 9.34 g/cm³
size of the total moment: 0.000 μB per formula unit

a b c (Å): 6.6355 6.6355 6.6355
angles (deg): 37.53 37.53 37.53
Sites, in units of the cell vectors:
Tl (0.0000, 0.0000, 0.0000)
Ge (0.2193, 0.2193, 0.2193)
Ge (0.7807, 0.7807, 0.7807)
Au (0.5000, 0.5000, 0.5000)

Entry 5:
VASP calculation (PBE) on KCr2Co after structural relaxation.

Output
SG: P4/mmm, No. 123
calculated formation energy: 3.47 eV/f.u.
ρ: 4.25 g/cm³
size of the total moment: 1.814 μB per formula unit

a b c (Å): 3.2240 3.2240 7.5931
angles (deg): 90.00 90.00 90.00
Sites, in units of the cell vectors:
K (0.0000, 0.0000, 0.0000)
Cr (0.5000, 0.5000, 0.3760)
Cr (0.5000, 0.5000, 0.6240)
Co (0.0000, 0.0000, 0.5000)

Entry 6:
VASP calculation (PBE) on TcOs2Cl after structural relaxation.

Output
SG: Cmm2, No. 35
ρ: 13.25 g/cm³
size of the total moment: 0.274 μB per formula unit
uncorrected formation energy: 0.8034 eV/atom

a b c (Å): 2.8078 2.8078 9.5374
angles (deg): 90.00 90.00 121.09
Sites, in units of the cell vectors:
Tc (0.0000, 0.0000, 0.0000)
Os (0.0000, 0.0000, 0.4736)
Os (0.5000, 0.5000, 0.2449)
Cl (0.5000, 0.5000, 0.7897)